NaAc2TaS6 | PBE | optimized geometry

Output
E_form (uncorrected) ... -1.567 eV/atom
Mass density ... 5501 kg/m³
Spin magnetization ... 0.0 Bohr magnetons per cell

Structure (CIF):
```
data_NaAc2TaS6
_cell_length_a 7.1443
_cell_length_b 7.1443
_cell_length_c 17.4200
_cell_angle_alpha 90.00
_cell_angle_beta 90.00
_cell_angle_gamma 120.00
_space_group_name_H-M_alt 'R 3'
_space_group_IT_number 146
_space_group_name_Hall 'R 3'
loop_
_atom_site_label
_atom_site_fract_x
_atom_site_fract_y
_atom_site_fract_z
Na1 0.0000 0.0000 0.0000
Ac1 0.0000 0.0000 0.2240
Ac2 0.0000 0.0000 0.7270
Ta1 0.0000 0.0000 0.5072
S1 0.0397 0.6244 0.2636
S2 0.0852 0.3486 0.1013
```